Arrangement A

A plane-wave DFT calculation with GGA-PBE was carried out for a relaxed structure of SmHoPb.

Unit cell a=5.296 b=3.619 c=9.930 alpha=100.32 beta=90.00 gamma=90.00
Atoms (fractional coordinates):
Ho 0.847 0.781 0.985
Ho 0.347 0.208 0.839
Pb 0.347 0.039 0.510
Pb 0.847 0.951 0.314
Sm 0.847 0.597 0.620
Sm 0.347 0.393 0.203

Calculated values
calculated volume = 187 Å³ per cell

=====

Arrangement B

A plane-wave DFT calculation with GGA-PBE was carried out for a relaxed structure of SmHoPb.

Unit cell a=3.898 b=5.245 c=5.245 alpha=120.00 beta=90.00 gamma=90.00
Atoms (fractional coordinates):
Ho 0.912 0.000 0.000
Sm 0.369 0.333 0.667
Pb 0.719 0.667 0.333

Calculated values
calculated volume = 93 Å³ per cell

=====

Arrangement C

A plane-wave DFT calculation with GGA-PBE was carried out for a relaxed structure of SmHoPb.

Unit cell a=6.093 b=3.465 c=9.149 alpha=79.08 beta=90.00 gamma=90.00
Atoms (fractional coordinates):
Pb 0.250 0.157 0.687
Pb 0.750 0.843 0.313
Ho 0.000 0.000 0.000
Ho 0.500 0.000 0.000
Sm 0.250 0.335 0.330
Sm 0.750 0.665 0.670

Calculated values
calculated volume = 190 Å³ per cell

=====

The structure with the least stability is arrangement C.